Entry from the Alexandria database: a geometry-optimized LiHo2TaS6 structure (PBE).

Values from the calculation:
energy relative to the elements, uncorrected = -1.520 eV/atom
space group = No. 146
mass density = 5.2 g/cm³
spin magnetization = 0.00 Bohr magnetons per cell
uncorrected energy = -6.288 eV per atom

Geometry as POSCAR:
```
LiHo2TaS6
1.0
3.315 1.914 5.950
-3.315 1.914 5.950
0.000 -3.828 5.950
Li Ho Ta S
1 2 1 6
direct
0.000 0.000 0.000
0.288 0.288 0.288
0.790 0.790 0.790
0.482 0.482 0.482
0.102 0.694 0.379
0.229 0.590 0.843
0.379 0.102 0.694
0.590 0.843 0.229
0.694 0.379 0.102
0.843 0.229 0.590
```